Record 1
{
  "formula": "DyErBr",
  "functional": "PBE",
  "state": "optimized geometry",
  "formation_energy_uncorrected_ev_per_atom": -0.59,
  "magnetic_moment_mub_per_atom": 0.000,
  "de_polymorph_mev_per_atom": 132,
  "total_energy_ev_per_cell": -25.236,
  "cell": [[5.850, 0.000, 0.000], [0.009, 5.919, 0.000], [2.854, 2.945, 4.782]],
  "species": ["Dy", "Dy", "Er", "Er", "Br", "Br"],
  "frac_coords": [[0.188, 0.437, 0.128], [0.812, 0.563, 0.872], [0.439, 0.186, 0.628], [0.561, 0.814, 0.372], [0.123, 0.876, 0.248], [0.877, 0.124, 0.752]]
}


Record 2
{
  "formula": "DyErBr",
  "functional": "PBE",
  "state": "optimized geometry",
  "formation_energy_uncorrected_ev_per_atom": -0.73,
  "magnetic_moment_mub_per_atom": 0.073,
  "de_polymorph_mev_per_atom": 0,
  "total_energy_ev_per_cell": -13.014,
  "cell": [[3.699, 0.000, 0.000], [-1.849, 3.203, 0.000], [0.000, 0.000, 7.241]],
  "species": ["Dy", "Er", "Br"],
  "frac_coords": [[0.000, 0.000, 0.000], [0.667, 0.333, 0.362], [0.333, 0.667, 0.679]]
}


Record 3
{
  "formula": "EuDy2Br",
  "functional": "PBE",
  "state": "optimized geometry",
  "formation_energy_uncorrected_ev_per_atom": -0.25,
  "magnetic_moment_mub_per_atom": 2.012,
  "total_energy_ev_per_cell": -22.155,
  "cell": [[1.777, 1.026, 11.575], [-1.777, 1.026, 11.575], [0.000, -2.052, 11.575]],
  "species": ["Eu", "Dy", "Dy", "Br"],
  "frac_coords": [[0.000, 0.000, 0.000], [0.099, 0.099, 0.099], [0.901, 0.901, 0.901], [0.500, 0.500, 0.500]]
}


Record 4
{
  "formula": "DyBrF",
  "functional": "PBE",
  "state": "optimized geometry",
  "formation_energy_uncorrected_ev_per_atom": -2.45,
  "magnetic_moment_mub_per_atom": 0.000,
  "total_energy_ev_per_cell": -30.990,
  "cell": [[3.632, 0.000, 0.000], [-1.772, 6.707, 0.000], [-0.002, -1.992, 7.234]],
  "species": ["Dy", "Dy", "Br", "Br", "F", "F"],
  "frac_coords": [[0.211, 0.420, 0.261], [0.789, 0.580, 0.739], [0.141, 0.278, 0.817], [0.859, 0.722, 0.183], [0.380, 0.766, 0.801], [0.620, 0.234, 0.199]]
}


Record 5
{
  "formula": "DyBr2F",
  "functional": "PBE",
  "state": "optimized geometry",
  "formation_energy_uncorrected_ev_per_atom": -2.60,
  "magnetic_moment_mub_per_atom": 0.000,
  "de_polymorph_mev_per_atom": 35,
  "total_energy_ev_per_cell": -40.434,
  "cell": [[3.769, 0.000, 0.000], [0.000, 8.575, 0.000], [-1.738, 0.000, 7.290]],
  "species": ["Dy", "Dy", "Br", "Br", "Br", "Br", "F", "F"],
  "frac_coords": [[0.247, 0.250, 0.494], [0.753, 0.750, 0.506], [0.152, 0.550, 0.287], [0.152, 0.950, 0.287], [0.848, 0.050, 0.713], [0.848, 0.450, 0.713], [0.322, 0.750, 0.656], [0.678, 0.250, 0.344]]
}


Record 6
{
  "formula": "DyBrF",
  "functional": "PBE",
  "state": "optimized geometry",
  "formation_energy_uncorrected_ev_per_atom": -2.42,
  "magnetic_moment_mub_per_atom": 0.000,
  "total_energy_ev_per_cell": -30.815,
  "cell": [[3.708, 0.000, 0.000], [-0.014, 5.698, 0.000], [-1.775, -2.847, 7.159]],
  "species": ["Dy", "Dy", "Br", "Br", "F", "F"],
  "frac_coords": [[0.121, 0.122, 0.244], [0.879, 0.878, 0.756], [0.207, 0.702, 0.405], [0.793, 0.298, 0.595], [0.002, 0.224, 0.000], [0.998, 0.776, 0.000]]
}


Record 7
{
  "formula": "DyBrF2",
  "functional": "PBE",
  "state": "optimized geometry",
  "formation_energy_uncorrected_ev_per_atom": -3.18,
  "magnetic_moment_mub_per_atom": 0.000,
  "de_polymorph_mev_per_atom": 153,
  "total_energy_ev_per_cell": -22.753,
  "cell": [[1.957, 1.130, 5.255], [-1.957, 1.130, 5.255], [0.000, -2.260, 5.255]],
  "species": ["Dy", "Br", "F", "F"],
  "frac_coords": [[0.000, 0.000, 0.000], [0.500, 0.500, 0.500], [0.302, 0.302, 0.302], [0.698, 0.698, 0.698]]
}


Record 8
{
  "formula": "DyBr2F",
  "functional": "PBE",
  "state": "optimized geometry",
  "formation_energy_uncorrected_ev_per_atom": -2.63,
  "magnetic_moment_mub_per_atom": 0.000,
  "de_polymorph_mev_per_atom": 0,
  "total_energy_ev_per_cell": -20.356,
  "cell": [[-2.062, 2.181, 7.320], [2.062, -2.181, 7.320], [2.062, 2.181, -7.320]],
  "species": ["Dy", "Br", "Br", "F"],
  "frac_coords": [[0.000, 0.000, 0.000], [0.132, 0.632, 0.500], [0.868, 0.368, 0.500], [0.500, 0.000, 0.500]]
}


Record 9
{
  "formula": "DyBrF2",
  "functional": "PBE",
  "state": "optimized geometry",
  "formation_energy_uncorrected_ev_per_atom": -3.34,
  "magnetic_moment_mub_per_atom": 0.000,
  "de_polymorph_mev_per_atom": 0,
  "total_energy_ev_per_cell": -46.728,
  "cell": [[1.886, -5.318, 0.000], [1.886, 5.318, 0.000], [0.000, 0.000, 6.999]],
  "species": ["Dy", "Dy", "Br", "Br", "F", "F", "F", "F"],
  "frac_coords": [[0.243, 0.757, 0.750], [0.757, 0.243, 0.250], [0.043, 0.957, 0.250], [0.957, 0.043, 0.750], [0.311, 0.689, 0.071], [0.311, 0.689, 0.429], [0.689, 0.311, 0.571], [0.689, 0.311, 0.929]]
}


Record 10
{
  "formula": "Dy5Fe2Br2",
  "functional": "PBE",
  "state": "optimized geometry",
  "formation_energy_uncorrected_ev_per_atom": -0.47,
  "magnetic_moment_mub_per_atom": 0.144,
  "total_energy_ev_per_cell": -95.065,
  "cell": [[8.117, -3.757, 0.000], [8.117, 3.757, 0.000], [0.000, 0.000, 7.503]],
  "species": ["Dy", "Dy", "Dy", "Dy", "Dy", "Dy", "Dy", "Dy", "Dy", "Dy", "Fe", "Fe", "Fe", "Fe", "Br", "Br", "Br", "Br"],
  "frac_coords": [[0.000, 0.000, 0.000], [0.053, 0.726, 0.663], [0.226, 0.553, 0.163], [0.274, 0.947, 0.663], [0.447, 0.774, 0.163], [0.500, 0.500, 0.500], [0.553, 0.226, 0.837], [0.726, 0.053, 0.337], [0.774, 0.447, 0.837], [0.947, 0.274, 0.337], [0.121, 0.879, 0.380], [0.379, 0.621, 0.880], [0.621, 0.379, 0.120], [0.879, 0.121, 0.620], [0.221, 0.221, 0.000], [0.279, 0.279, 0.500], [0.721, 0.721, 0.500], [0.779, 0.779, 0.000]]
}


Record 11
{
  "formula": "Dy7FeBr12",
  "functional": "PBE",
  "state": "optimized geometry",
  "formation_energy_uncorrected_ev_per_atom": -1.54,
  "magnetic_moment_mub_per_atom": 0.052,
  "total_energy_ev_per_cell": -91.521,
  "cell": [[7.378, 4.260, 3.456], [-7.378, 4.260, 3.456], [0.000, -8.520, 3.456]],
  "species": ["Dy", "Dy", "Dy", "Dy", "Dy", "Dy", "Dy", "Fe", "Br", "Br", "Br", "Br", "Br", "Br", "Br", "Br", "Br", "Br", "Br", "Br"],
  "frac_coords": [[0.000, 0.000, 0.000], [0.200, 0.403, 0.480], [0.403, 0.480, 0.200], [0.480, 0.200, 0.403], [0.520, 0.800, 0.597], [0.597, 0.520, 0.800], [0.800, 0.597, 0.520], [0.500, 0.500, 0.500], [0.038, 0.333, 0.116], [0.116, 0.038, 0.333], [0.178, 0.721, 0.572], [0.279, 0.428, 0.822], [0.333, 0.116, 0.038], [0.428, 0.822, 0.279], [0.572, 0.178, 0.721], [0.667, 0.884, 0.962], [0.721, 0.572, 0.178], [0.822, 0.279, 0.428], [0.884, 0.962, 0.667], [0.962, 0.667, 0.884]]
}


Record 12
{
  "formula": "Dy4FeBr5",
  "functional": "PBE",
  "state": "optimized geometry",
  "formation_energy_uncorrected_ev_per_atom": -1.26,
  "magnetic_moment_mub_per_atom": 0.029,
  "total_energy_ev_per_cell": -47.852,
  "cell": [[9.003, -1.930, 0.000], [9.003, 1.930, 0.000], [-2.144, 0.000, 8.604]],
  "species": ["Dy", "Dy", "Dy", "Dy", "Fe", "Br", "Br", "Br", "Br", "Br"],
  "frac_coords": [[0.000, 0.000, 0.226], [0.000, 0.000, 0.774], [0.362, 0.362, 0.927], [0.638, 0.638, 0.073], [0.500, 0.500, 0.000], [0.167, 0.167, 0.327], [0.173, 0.173, 0.845], [0.500, 0.500, 0.500], [0.827, 0.827, 0.155], [0.833, 0.833, 0.673]]
}


Record 13
{
  "formula": "RbDyFe2Br8",
  "functional": "PBE",
  "state": "optimized geometry",
  "formation_energy_uncorrected_ev_per_atom": -1.08,
  "magnetic_moment_mub_per_atom": 0.667,
  "total_energy_ev_per_cell": -48.865,
  "cell": [[5.654, -3.897, 0.000], [5.654, 3.897, 0.000], [-0.974, 0.000, 10.117]],
  "species": ["Rb", "Dy", "Fe", "Fe", "Br", "Br", "Br", "Br", "Br", "Br", "Br", "Br"],
  "frac_coords": [[0.000, 0.000, 0.000], [0.000, 0.000, 0.500], [0.377, 0.377, 0.713], [0.623, 0.623, 0.287], [0.235, 0.737, 0.297], [0.248, 0.248, 0.505], [0.263, 0.765, 0.703], [0.305, 0.305, 0.923], [0.695, 0.695, 0.077], [0.737, 0.235, 0.297], [0.752, 0.752, 0.495], [0.765, 0.263, 0.703]]
}


Record 14
{
  "formula": "Dy7GaBr12",
  "functional": "PBE",
  "state": "optimized geometry",
  "formation_energy_uncorrected_ev_per_atom": -1.55,
  "magnetic_moment_mub_per_atom": 0.000,
  "total_energy_ev_per_cell": -86.357,
  "cell": [[7.409, 4.277, 3.277], [-7.409, 4.277, 3.277], [0.000, -8.555, 3.277]],
  "species": ["Dy", "Dy", "Dy", "Dy", "Dy", "Dy", "Dy", "Ga", "Br", "Br", "Br", "Br", "Br", "Br", "Br", "Br", "Br", "Br", "Br", "Br"],
  "frac_coords": [[0.000, 0.000, 0.000], [0.172, 0.388, 0.463], [0.388, 0.463, 0.172], [0.463, 0.172, 0.388], [0.537, 0.828, 0.612], [0.612, 0.537, 0.828], [0.828, 0.612, 0.537], [0.500, 0.500, 0.500], [0.028, 0.340, 0.108], [0.108, 0.028, 0.340], [0.189, 0.727, 0.577], [0.273, 0.423, 0.811], [0.340, 0.108, 0.028], [0.423, 0.811, 0.273], [0.577, 0.189, 0.727], [0.660, 0.892, 0.972], [0.727, 0.577, 0.189], [0.811, 0.273, 0.423], [0.892, 0.972, 0.660], [0.972, 0.660, 0.892]]
}


Record 15
{
  "formula": "DyGaBr2",
  "functional": "PBE",
  "state": "optimized geometry",
  "formation_energy_uncorrected_ev_per_atom": -0.65,
  "magnetic_moment_mub_per_atom": 0.000,
  "total_energy_ev_per_cell": -13.576,
  "cell": [[1.989, 1.148, 9.652], [-1.989, 1.148, 9.652], [0.000, -2.296, 9.652]],
  "species": ["Dy", "Ga", "Br", "Br"],
  "frac_coords": [[0.000, 0.000, 0.000], [0.500, 0.500, 0.500], [0.096, 0.096, 0.096], [0.904, 0.904, 0.904]]
}


Record 16
{
  "formula": "Dy2GaBr3",
  "functional": "PBE",
  "state": "optimized geometry",
  "formation_energy_uncorrected_ev_per_atom": -1.26,
  "magnetic_moment_mub_per_atom": 0.002,
  "total_energy_ev_per_cell": -49.579,
  "cell": [[9.667, -2.028, 0.000], [9.667, 2.028, 0.000], [-8.515, 0.000, 9.897]],
  "species": ["Dy", "Dy", "Dy", "Dy", "Ga", "Ga", "Br", "Br", "Br", "Br", "Br", "Br"],
  "frac_coords": [[0.115, 0.115, 0.447], [0.374, 0.374, 0.181], [0.626, 0.626, 0.819], [0.885, 0.885, 0.553], [0.066, 0.066, 0.618], [0.934, 0.934, 0.382], [0.177, 0.177, 0.024], [0.252, 0.252, 0.383], [0.456, 0.456, 0.764], [0.544, 0.544, 0.236], [0.748, 0.748, 0.617], [0.823, 0.823, 0.976]]
}


Record 17
{
  "formula": "DyGa2Br8",
  "functional": "PBE",
  "state": "optimized geometry",
  "formation_energy_uncorrected_ev_per_atom": -1.07,
  "magnetic_moment_mub_per_atom": 0.000,
  "total_energy_ev_per_cell": -35.785,
  "cell": [[6.713, -4.793, 0.000], [6.713, 4.793, 0.000], [-1.012, 0.000, 6.736]],
  "species": ["Dy", "Ga", "Ga", "Br", "Br", "Br", "Br", "Br", "Br", "Br", "Br"],
  "frac_coords": [[0.000, 0.000, 0.000], [0.193, 0.193, 0.649], [0.807, 0.807, 0.351], [0.100, 0.713, 0.226], [0.181, 0.181, 0.275], [0.287, 0.900, 0.774], [0.364, 0.364, 0.784], [0.636, 0.636, 0.216], [0.713, 0.100, 0.226], [0.819, 0.819, 0.725], [0.900, 0.287, 0.774]]
}


Record 18
{
  "formula": "DyGa3Br6",
  "functional": "PBE",
  "state": "optimized geometry",
  "formation_energy_uncorrected_ev_per_atom": -1.07,
  "magnetic_moment_mub_per_atom": 0.000,
  "total_energy_ev_per_cell": -68.811,
  "cell": [[7.409, 0.000, 0.000], [0.000, 8.386, 0.000], [-6.885, 0.000, 10.973]],
  "species": ["Dy", "Dy", "Ga", "Ga", "Ga", "Ga", "Ga", "Ga", "Br", "Br", "Br", "Br", "Br", "Br", "Br", "Br", "Br", "Br", "Br", "Br"],
  "frac_coords": [[0.000, 0.000, 0.000], [0.000, 0.500, 0.500], [0.313, 0.094, 0.795], [0.313, 0.406, 0.295], [0.500, 0.000, 0.500], [0.500, 0.500, 0.000], [0.687, 0.594, 0.705], [0.687, 0.906, 0.205], [0.096, 0.066, 0.237], [0.096, 0.434, 0.737], [0.254, 0.723, 0.086], [0.254, 0.777, 0.586], [0.362, 0.169, 0.043], [0.362, 0.331, 0.543], [0.638, 0.669, 0.457], [0.638, 0.831, 0.957], [0.746, 0.223, 0.414], [0.746, 0.277, 0.914], [0.904, 0.566, 0.263], [0.904, 0.934, 0.763]]
}


Record 19
{
  "formula": "DyGa2Br5",
  "functional": "PBE",
  "state": "optimized geometry",
  "formation_energy_uncorrected_ev_per_atom": -1.20,
  "magnetic_moment_mub_per_atom": 0.000,
  "total_energy_ev_per_cell": -57.215,
  "cell": [[7.949, -3.868, 0.000], [7.949, 3.868, 0.000], [-4.600, 0.000, 9.640]],
  "species": ["Dy", "Dy", "Ga", "Ga", "Ga", "Ga", "Br", "Br", "Br", "Br", "Br", "Br", "Br", "Br", "Br", "Br"],
  "frac_coords": [[0.000, 0.000, 0.000], [0.000, 0.000, 0.500], [0.350, 0.407, 0.775], [0.407, 0.350, 0.275], [0.592, 0.650, 0.724], [0.650, 0.592, 0.224], [0.030, 0.321, 0.149], [0.142, 0.858, 0.250], [0.233, 0.613, 0.536], [0.321, 0.030, 0.649], [0.387, 0.767, 0.963], [0.613, 0.233, 0.036], [0.678, 0.970, 0.351], [0.767, 0.387, 0.463], [0.858, 0.142, 0.750], [0.970, 0.678, 0.851]]
}


Record 20
{
  "formula": "Dy4GaBr5",
  "functional": "PBE",
  "state": "optimized geometry",
  "formation_energy_uncorrected_ev_per_atom": -1.37,
  "magnetic_moment_mub_per_atom": 0.000,
  "total_energy_ev_per_cell": -43.456,
  "cell": [[9.129, -2.034, 0.000], [9.129, 2.034, 0.000], [-1.799, 0.000, 8.185]],
  "species": ["Dy", "Dy", "Dy", "Dy", "Ga", "Br", "Br", "Br", "Br", "Br"],
  "frac_coords": [[0.001, 0.001, 0.227], [0.348, 0.348, 0.921], [0.652, 0.652, 0.079], [0.999, 0.999, 0.773], [0.500, 0.500, 0.000], [0.167, 0.167, 0.330], [0.173, 0.173, 0.839], [0.500, 0.500, 0.500], [0.827, 0.827, 0.161], [0.833, 0.833, 0.670]]
}


Record 21
{
  "formula": "K2DyGaBr6",
  "functional": "PBE",
  "state": "optimized geometry",
  "formation_energy_uncorrected_ev_per_atom": -1.57,
  "magnetic_moment_mub_per_atom": 0.000,
  "total_energy_ev_per_cell": -35.593,
  "cell": [[3.996, 2.307, 6.803], [-3.996, 2.307, 6.803], [0.000, -4.615, 6.803]],
  "species": ["K", "K", "Dy", "Ga", "Br", "Br", "Br", "Br", "Br", "Br"],
  "frac_coords": [[0.000, 0.000, 0.000], [0.491, 0.491, 0.491], [0.704, 0.704, 0.704], [0.212, 0.212, 0.212], [0.038, 0.460, 0.838], [0.363, 0.921, 0.573], [0.460, 0.838, 0.038], [0.573, 0.363, 0.921], [0.838, 0.038, 0.460], [0.921, 0.573, 0.363]]
}


Record 22
{
  "formula": "Li2DyGaBr6",
  "functional": "PBE",
  "state": "optimized geometry",
  "formation_energy_uncorrected_ev_per_atom": -1.45,
  "magnetic_moment_mub_per_atom": 0.000,
  "total_energy_ev_per_cell": -35.972,
  "cell": [[3.588, 2.072, 6.593], [-3.588, 2.072, 6.593], [0.000, -4.144, 6.593]],
  "species": ["Li", "Li", "Dy", "Ga", "Br", "Br", "Br", "Br", "Br", "Br"],
  "frac_coords": [[0.000, 0.000, 0.000], [0.493, 0.493, 0.493], [0.685, 0.685, 0.685], [0.196, 0.196, 0.196], [0.094, 0.412, 0.756], [0.270, 0.865, 0.643], [0.412, 0.756, 0.094], [0.643, 0.270, 0.865], [0.756, 0.094, 0.412], [0.865, 0.643, 0.270]]
}